[1]
Here is an optimized crystal structure of CrPtRh from Alexandria. Energies are from GGA-PBEsol.

Values from the calculation:
- Density: 14.69 g cm⁻³
- Magnetization: 0.0 μB per formula unit
- Energy above the most stable polymorph in this dataset: 0.00 kJ per mole of atoms
- Crystal system: tetragonal
- Space group: No. 107
- Raw total energy: -8.6334 eV/atom

Lattice parameters (Å, degrees): 5.904 5.904 5.904 153.97 153.97 37.14
Fractional positions:
Cr  0.000  0.000  0.000
Pt  0.337  0.337  0.000
Rh  0.649  0.649  0.000



[2]
Here is an optimized crystal structure of CrRu2Pt from Alexandria. Energies are from GGA-PBEsol.

Values from the calculation:
- Density: 14.12 g cm⁻³
- Magnetization: 0.0 μB per formula unit
- Crystal system: tetragonal
- Space group: No. 139
- Raw total energy: -9.3745 eV/atom

Lattice parameters (Å, degrees): 4.569 4.569 4.569 131.23 131.23 71.45
Fractional positions:
Cr  0.000  0.000  0.000
Ru  0.250  0.750  0.500
Ru  0.750  0.250  0.500
Pt  0.500  0.500  0.000